[1]
# NbPdSe3

A relaxed NbPdSe3 crystal (PBE-GGA, Alexandria).

Output
Formation energy without anion corrections in eV per atom: -0.542
Total DFT energy (no corrections) in Ry per atom: -0.4179
Polymorph energy (0 for the lowest one) in eV per atom: 0.000
SG: Ama2, No. 40
Theoretical density in Mg/m³: 5.692
V in Å³ per atom: 25.45
DOS at the Fermi energy in states/eV per cell: 4.91

Unit cell a=3.548 b=11.721 c=11.721 alpha=148.53 beta=90.00 gamma=90.00
Fractional coordinates of all 10 atoms:
Nb  0.250  0.166  0.834
Nb  0.750  0.834  0.166
Pd  0.250  0.207  0.474
Pd  0.750  0.474  0.207
Se  0.250  0.273  0.134
Se  0.250  0.613  0.865
Se  0.250  0.940  0.411
Se  0.750  0.134  0.273
Se  0.750  0.411  0.940
Se  0.750  0.865  0.613

=====

[2]
# AlNi2Bi2

A relaxed AlNi2Bi2 crystal (PBE-GGA, Alexandria).

Output
Total DFT energy (no corrections) in Ry per atom: -0.3312
Calculated formation energy in kJ per mole of atoms: 10.3
Polymorph energy (0 for the lowest one) in eV per atom: 0.000
SG: P4/mbm, No. 127
Theoretical density in Mg/m³: 9.734
V in Å³ per atom: 19.19
DOS at the Fermi energy in states/eV per cell: 5.74

Unit cell a=6.797 b=6.797 c=4.153 alpha=90.00 beta=90.00 gamma=90.00
Fractional coordinates of all 10 atoms:
Al  0.000  0.000  0.000
Al  0.500  0.500  0.000
Ni  0.137  0.363  0.000
Ni  0.363  0.863  0.000
Ni  0.637  0.137  0.000
Ni  0.863  0.637  0.000
Bi  0.170  0.670  0.500
Bi  0.330  0.170  0.500
Bi  0.670  0.830  0.500
Bi  0.830  0.330  0.500

=====

[3]
# TcMoSe2

A relaxed TcMoSe2 crystal (PBE-GGA, Alexandria).

Output
Formation energy without anion corrections in eV per atom: 0.166
Total DFT energy (no corrections) in Ry per atom: -0.5053
Polymorph energy (0 for the lowest one) in eV per atom: 0.352
SG: C2/m, No. 12
Theoretical density in Mg/m³: 9.106
V in Å³ per atom: 16.04
DOS at the Fermi energy in states/eV per cell: 8.04

Unit cell a=7.950 b=3.080 c=5.379 alpha=90.00 beta=102.96 gamma=90.00
Fractional coordinates of all 8 atoms:
Tc  0.000  0.000  0.000
Tc  0.500  0.500  0.000
Mo  0.000  0.500  0.500
Mo  0.500  0.000  0.500
Se  0.249  0.000  0.751
Se  0.251  0.500  0.249
Se  0.749  0.500  0.751
Se  0.751  0.000  0.249

=====

[4]
# Sn2SeCl2

A relaxed Sn2SeCl2 crystal (PBE-GGA, Alexandria).

Output
Formation energy without anion corrections in eV per atom: -0.737
Total DFT energy (no corrections) in Ry per atom: -0.2774
Polymorph energy (0 for the lowest one) in eV per atom: 0.000
SG: R-3m, No. 166
Theoretical density in Mg/m³: 4.065
V in Å³ per atom: 31.64

Unit cell a=4.281 b=4.281 c=29.907 alpha=90.00 beta=90.00 gamma=120.00
Fractional coordinates of all 15 atoms:
Sn  0.000  0.000  0.107
Sn  0.000  0.000  0.893
Sn  0.333  0.667  0.560
Sn  0.333  0.667  0.774
Sn  0.667  0.333  0.226
Sn  0.667  0.333  0.440
Se  0.000  0.000  0.500
Se  0.333  0.667  0.167
Se  0.667  0.333  0.833
Cl  0.000  0.000  0.276
Cl  0.000  0.000  0.724
Cl  0.333  0.667  0.391
Cl  0.333  0.667  0.943
Cl  0.667  0.333  0.057
Cl  0.667  0.333  0.609

=====

[5]
# CrSiSb

A relaxed CrSiSb crystal (PBE-GGA, Alexandria).

Output
Formation energy without anion corrections in eV per atom: 0.287
Total DFT energy (no corrections) in Ry per atom: -0.4485
Polymorph energy (0 for the lowest one) in eV per atom: 0.024
SG: P3m1, No. 156
Theoretical density in Mg/m³: 6.530
V in Å³ per atom: 17.11
DOS at the Fermi energy in states/eV per cell: 1.52

Unit cell a=3.168 b=3.168 c=5.907 alpha=90.00 beta=90.00 gamma=120.00
Fractional coordinates of all 3 atoms:
Cr  0.000  0.000  0.000
Si  0.667  0.333  0.735
Sb  0.333  0.667  0.329

=====

[6]
# PrEuCo

A relaxed PrEuCo crystal (PBE-GGA, Alexandria).

Output
Total DFT energy (no corrections) in Ry per atom: -0.5356
Calculated formation energy in kJ per mole of atoms: 9.6
Polymorph energy (0 for the lowest one) in eV per atom: 0.014
SG: P3m1, No. 156
Theoretical density in Mg/m³: 6.527
V in Å³ per atom: 29.83
DOS at the Fermi energy in states/eV per cell: 8.86

Unit cell a=3.996 b=3.996 c=6.472 alpha=90.00 beta=90.00 gamma=120.00
Fractional coordinates of all 3 atoms:
Pr  0.000  0.000  0.000
Eu  0.333  0.667  0.478
Co  0.667  0.333  0.224

=====

Look up the total DFT energy (no corrections) of the second one. -0.3312 Ry per atom

=====

What is the formula in the sixth record? PrEuCo

=====

Please write out number 2 again, unchanged.
# AlNi2Bi2

A relaxed AlNi2Bi2 crystal (PBE-GGA, Alexandria).

Output
Total DFT energy (no corrections) in Ry per atom: -0.3312
Calculated formation energy in kJ per mole of atoms: 10.3
Polymorph energy (0 for the lowest one) in eV per atom: 0.000
SG: P4/mbm, No. 127
Theoretical density in Mg/m³: 9.734
V in Å³ per atom: 19.19
DOS at the Fermi energy in states/eV per cell: 5.74

Unit cell a=6.797 b=6.797 c=4.153 alpha=90.00 beta=90.00 gamma=90.00
Fractional coordinates of all 10 atoms:
Al  0.000  0.000  0.000
Al  0.500  0.500  0.000
Ni  0.137  0.363  0.000
Ni  0.363  0.863  0.000
Ni  0.637  0.137  0.000
Ni  0.863  0.637  0.000
Bi  0.170  0.670  0.500
Bi  0.330  0.170  0.500
Bi  0.670  0.830  0.500
Bi  0.830  0.330  0.500